# 1
# Be2AlBr, relaxed, DFT PBEsol
# total DFT energy (no corrections): -11.7 eV per cell
# energy above the most stable polymorph in this dataset: 0.468 eV per atom
# energy relative to the elements, uncorrected: 0.57 eV/atom
data_Be2AlBr
_symmetry_space_group_name_H-M 'P 4/m m m'
_symmetry_Int_Tables_number 123
_symmetry_space_group_name_Hall '-P 4 2'
_cell_length_a 2.9874
_cell_length_b 2.9874
_cell_length_c 6.6968
_cell_angle_alpha 90.00
_cell_angle_beta 90.00
_cell_angle_gamma 90.00
loop_
_atom_site_label
_atom_site_fract_x
_atom_site_fract_y
_atom_site_fract_z
Be1 0.0000 0.0000 0.2302
Al1 0.5000 0.5000 0.0000
Br1 0.5000 0.5000 0.5000

***

# 2
# Be3AlBr, relaxed, DFT PBEsol
# total DFT energy (no corrections): -10.9 eV per cell
# energy relative to the elements, uncorrected: 1.41 eV/atom
data_Be3AlBr
_symmetry_space_group_name_H-M 'P m -3 m'
_symmetry_Int_Tables_number 221
_symmetry_space_group_name_Hall '-P 4 2 3'
_cell_length_a 4.3888
_cell_length_b 4.3888
_cell_length_c 4.3888
_cell_angle_alpha 90.00
_cell_angle_beta 90.00
_cell_angle_gamma 90.00
loop_
_atom_site_label
_atom_site_fract_x
_atom_site_fract_y
_atom_site_fract_z
Be1 0.0000 0.0000 0.5000
Al1 0.5000 0.5000 0.5000
Br1 0.0000 0.0000 0.0000

***

# 3
# BeAlBr2, relaxed, DFT PBEsol
# total DFT energy (no corrections): -24.1 eV per cell
# energy relative to the elements, uncorrected: -0.06 eV/atom
data_BeAlBr2
_symmetry_space_group_name_H-M 'C 1 2/m 1'
_symmetry_Int_Tables_number 12
_cell_length_a 11.2654
_cell_length_b 3.2891
_cell_length_c 5.4288
_cell_angle_alpha 90.00
_cell_angle_beta 118.66
_cell_angle_gamma 90.00
loop_
_symmetry_equiv_pos_as_xyz
'x,y,z'
'-x,-y,-z'
'-x,y,-z'
'x,-y,z'
'x+1/2,y+1/2,z'
'-x+1/2,-y+1/2,-z'
'-x+1/2,y+1/2,-z'
'x+1/2,-y+1/2,z'
loop_
_atom_site_label
_atom_site_fract_x
_atom_site_fract_y
_atom_site_fract_z
Be1 0.0000 0.0000 0.0000
Al1 0.0000 0.5000 0.5000
Br1 0.1619 0.5000 0.1621

***

# 4
# BeAlBr, relaxed, DFT PBEsol
# total DFT energy (no corrections): -9.4 eV per cell
# energy above the most stable polymorph in this dataset: 0.000 eV per atom
# energy relative to the elements, uncorrected: 0.19 eV/atom
data_BeAlBr
_symmetry_space_group_name_H-M 'P 3 m 1'
_symmetry_Int_Tables_number 156
_cell_length_a 3.1667
_cell_length_b 3.1667
_cell_length_c 7.3493
_cell_angle_alpha 90.00
_cell_angle_beta 90.00
_cell_angle_gamma 120.00
loop_
_symmetry_equiv_pos_as_xyz
'x,y,z'
'-y,x-y,z'
'-x+y,-x,z'
'-y,-x,z'
'-x+y,y,z'
'x,x-y,z'
loop_
_atom_site_label
_atom_site_fract_x
_atom_site_fract_y
_atom_site_fract_z
Be1 0.0000 0.0000 0.0000
Al1 0.3333 0.6667 0.2679
Br1 0.6667 0.3333 0.8179

***

# 5
# BeAl2Br, relaxed, DFT PBEsol
# total DFT energy (no corrections): -40.2 eV per cell
# energy above the most stable polymorph in this dataset: 0.000 eV per atom
# energy relative to the elements, uncorrected: 0.16 eV/atom
data_BeAl2Br
_symmetry_space_group_name_H-M 'R -3 m'
_symmetry_Int_Tables_number 166
_symmetry_space_group_name_Hall '-R 3 2"'
_cell_length_a 3.5339
_cell_length_b 3.5339
_cell_length_c 19.8071
_cell_angle_alpha 90.00
_cell_angle_beta 90.00
_cell_angle_gamma 120.00
loop_
_atom_site_label
_atom_site_fract_x
_atom_site_fract_y
_atom_site_fract_z
Be1 0.0000 0.0000 0.0000
Al1 0.0000 0.0000 0.2747
Br1 0.0000 0.0000 0.5000

***

# 6
# BeAl3Br, relaxed, DFT PBEsol
# total DFT energy (no corrections): -11.4 eV per cell
# energy relative to the elements, uncorrected: 1.35 eV/atom
data_BeAl3Br
_symmetry_space_group_name_H-M 'P m -3 m'
_symmetry_Int_Tables_number 221
_symmetry_space_group_name_Hall '-P 4 2 3'
_cell_length_a 5.1384
_cell_length_b 5.1384
_cell_length_c 5.1384
_cell_angle_alpha 90.00
_cell_angle_beta 90.00
_cell_angle_gamma 90.00
loop_
_atom_site_label
_atom_site_fract_x
_atom_site_fract_y
_atom_site_fract_z
Be1 0.0000 0.0000 0.0000
Al1 0.0000 0.5000 0.5000
Br1 0.5000 0.5000 0.5000